# 1
## SrBe2Al2 (PBEsol)

Data for crystalline SrBe2Al2 at its relaxed geometry.

Results
Uncorrected energy (eV/atom): -3.547
ΔE_f (meV per atom): 58

Lattice parameters (Å, degrees): 5.921 5.921 5.921 138.44 138.44 60.23
Positions (direct):
Sr (0.000, 0.000, 0.000)
Be (0.250, 0.750, 0.500)
Be (0.750, 0.250, 0.500)
Al (0.367, 0.367, 0.000)
Al (0.633, 0.633, 0.000)



# 2
## YSbTe2Pd (PBEsol)

Data for crystalline YSbTe2Pd at its relaxed geometry.

Results
Formation energy (no corrections) (eV per atom): -0.222
Uncorrected energy (eV/atom): -5.100

Lattice parameters (Å, degrees): 5.278 5.278 5.037 90.00 90.00 90.00
Positions (direct):
Y (0.000, 0.000, 0.000)
Sb (0.500, 0.500, 0.000)
Te (0.000, 0.500, 0.500)
Te (0.500, 0.000, 0.500)
Pd (0.500, 0.500, 0.500)



# 3
## Li2Sn2Pb (PBEsol)

Data for crystalline Li2Sn2Pb at its relaxed geometry.

Results
Uncorrected energy (eV/atom): -3.533
ΔE_f (meV per atom): -243

Lattice parameters (Å, degrees): 8.327 8.327 3.293 90.00 90.00 90.00
Positions (direct):
Li (0.177, 0.323, 0.000)
Li (0.323, 0.823, 0.000)
Li (0.677, 0.177, 0.000)
Li (0.823, 0.677, 0.000)
Sn (0.123, 0.623, 0.500)
Sn (0.377, 0.123, 0.500)
Sn (0.623, 0.877, 0.500)
Sn (0.877, 0.377, 0.500)
Pb (0.000, 0.000, 0.500)
Pb (0.500, 0.500, 0.500)



# 4
## Li2YFe (PBEsol)

Data for crystalline Li2YFe at its relaxed geometry.

Results
Uncorrected energy (eV/atom): -4.471
ΔE_f (meV per atom): 458

Lattice parameters (Å, degrees): 3.503 3.503 5.671 90.00 90.00 90.00
Positions (direct):
Li (0.000, 0.000, 0.197)
Li (0.000, 0.000, 0.803)
Y (0.500, 0.500, 0.500)
Fe (0.500, 0.500, 0.000)



# 5
## BaReHg2 (PBEsol)

Data for crystalline BaReHg2 at its relaxed geometry.

Results
Uncorrected energy (eV/atom): -3.528
ΔE_f (meV per atom): 626

Lattice parameters (Å, degrees): 3.658 3.658 7.520 90.00 90.00 90.00
Positions (direct):
Ba (0.000, 0.000, 0.000)
Re (0.500, 0.500, 0.682)
Hg (0.000, 0.000, 0.570)
Hg (0.500, 0.500, 0.315)



# 6
## LiMnFeF6 (PBEsol)

Data for crystalline LiMnFeF6 at its relaxed geometry.

Results
Formation energy (no corrections) (eV per atom): -2.273
Uncorrected energy (eV/atom): -5.857

Lattice parameters (Å, degrees): 8.516 8.516 4.492 90.00 90.00 120.00
Positions (direct):
Li (0.000, 0.000, 0.000)
Li (0.333, 0.667, 0.502)
Li (0.667, 0.333, 0.498)
Mn (0.000, 0.347, 0.000)
Mn (0.347, 0.000, 0.000)
Mn (0.653, 0.653, 0.000)
Fe (0.000, 0.679, 0.500)
Fe (0.321, 0.321, 0.500)
Fe (0.679, 0.000, 0.500)
F (0.105, 0.573, 0.735)
F (0.109, 0.883, 0.753)
F (0.117, 0.226, 0.753)
F (0.216, 0.780, 0.275)
F (0.220, 0.436, 0.275)
F (0.226, 0.117, 0.247)
F (0.427, 0.532, 0.735)
F (0.436, 0.220, 0.725)
F (0.468, 0.895, 0.735)
F (0.532, 0.427, 0.265)
F (0.564, 0.784, 0.275)
F (0.573, 0.105, 0.265)
F (0.774, 0.891, 0.753)
F (0.780, 0.216, 0.725)
F (0.784, 0.564, 0.725)
F (0.883, 0.109, 0.247)
F (0.891, 0.774, 0.247)
F (0.895, 0.468, 0.265)



# 7
## Be3In (PBEsol)

Data for crystalline Be3In at its relaxed geometry.

Results
Uncorrected energy (eV/atom): -3.207
ΔE to the lowest computed polymorph (kcal/mol of atoms): 0.277
ΔE_f (meV per atom): 539

Lattice parameters (Å, degrees): 3.676 3.676 3.676 90.00 90.00 90.00
Positions (direct):
Be (0.000, 0.000, 0.500)
Be (0.000, 0.500, 0.000)
Be (0.500, 0.000, 0.000)
In (0.500, 0.500, 0.500)



# 8
## CsCaAl2Sn (PBEsol)

Data for crystalline CsCaAl2Sn at its relaxed geometry.

Results
Uncorrected energy (eV/atom): -2.717
ΔE_f (meV per atom): 387

Lattice parameters (Å, degrees): 5.533 5.533 5.868 90.00 90.00 90.00
Positions (direct):
Cs (0.000, 0.000, 0.000)
Ca (0.500, 0.500, 0.000)
Al (0.000, 0.500, 0.500)
Al (0.500, 0.000, 0.500)
Sn (0.500, 0.500, 0.500)



- What is the formula in the fifth record?
  BaReHg2